Compound: TaSbSe2
Source: Alexandria
Functional: SCAN
Structure: single point on PBEsol structure

abc: 4.793 4.793 4.793
angles: 60.00 60.00 60.00
Positions (direct):
1 Sb 0.500 0.500 0.500
2 Se 0.000 0.000 0.000
3 Se 0.250 0.250 0.250
4 Ta 0.750 0.750 0.750

Summary:
SG: F-43m (216)
density of states at the Fermi level: 0.764 states/eV/atom
final energy: -35.445 eV per atom
density: 9824 kg/m3



Compound: TaSbSe2
Source: Alexandria
Functional: SCAN
Structure: single point on PBEsol structure

abc: 3.229 5.606 5.608
angles: 118.42 90.00 90.00
Positions (direct):
1 Sb 0.500 0.500 0.000
2 Se 0.000 0.202 0.298
3 Se 0.000 0.798 0.702
4 Ta 0.500 0.000 0.500

Summary:
SG: Cmmm (65)
density of states at the Fermi level: 0.655 states/eV/atom
final energy: -36.162 eV per atom
density: 8567 kg/m3



Compound: Ta2SbSe
Source: Alexandria
Functional: SCAN
Structure: single point on PBEsol structure

abc: 3.306 4.920 5.087
angles: 103.41 90.00 109.63
Positions (direct):
1 Sb 0.506 0.012 0.545
2 Se 0.738 0.476 0.155
3 Ta 0.003 0.006 0.049
4 Ta 0.253 0.507 0.751

Summary:
SG: Cm (8)
density of states at the Fermi level: 0.604 states/eV/atom
final energy: -47.689 eV per atom
density: 12369 kg/m3



Compound: TaSbSe2
Source: Alexandria
Functional: SCAN
Structure: single point on PBEsol structure

abc: 3.196 3.196 7.850
angles: 90.00 90.00 90.00
Positions (direct):
1 Sb 0.500 0.500 0.500
2 Se 0.000 0.000 0.808
3 Se 0.000 0.000 0.192
4 Ta 0.500 0.500 0.000

Summary:
SG: P4/mmm (123)
density of states at the Fermi level: 0.436 states/eV/atom
final energy: -36.213 eV per atom
density: 9542 kg/m3